No. 1
The following is a DFT calculation (PBE-GGA) of a relaxed LaTa2Zn crystal.

Output
Formation energy from the elements, eV per atom: 0.25
Symmetry: P4mm, No. 99

The structure in POSCAR format:
```
LaTa2Zn
1.0
2.928 0.000 0.000
0.000 2.928 0.000
0.000 0.000 9.572
Zn La Ta
1 1 2
Direct
0.000 0.000 0.469
0.500 0.500 0.733
0.000 0.000 0.033
0.500 0.500 0.265
```



No. 2
The following is a DFT calculation (PBE-GGA) of a relaxed Ta5Mo4W2 crystal.

Output
Formation energy from the elements, eV per atom: 0.46
Symmetry: Immm, No. 71

The structure in POSCAR format:
```
Ta5Mo4W2
1.0
-2.320 1.991 3.381
-4.769 -4.551 2.481
2.306 -2.540 6.151
W Mo Ta
2 4 5
Direct
0.862 0.138 0.138
0.138 0.862 0.862
0.000 0.308 0.692
0.000 0.692 0.308
0.386 0.614 0.614
0.614 0.386 0.386
0.725 0.601 0.949
0.725 0.949 0.601
0.500 0.000 0.000
0.275 0.051 0.399
0.275 0.399 0.051
```



No. 3
The following is a DFT calculation (PBE-GGA) of a relaxed Pm2Pr3Sm6In crystal.

Output
Formation energy from the elements, eV per atom: -0.05
Symmetry: C2/m, No. 12

The structure in POSCAR format:
```
Pm2Pr3Sm6In
1.0
6.255 -0.007 0.001
-3.132 5.414 0.001
-1.057 -1.830 11.786
Sm Pm Pr In
6 2 3 1
Direct
0.919 0.594 0.756
0.244 0.244 0.754
0.081 0.406 0.244
0.594 0.919 0.756
0.756 0.756 0.246
0.406 0.081 0.244
0.666 0.334 0.000
0.334 0.666 0.000
0.500 0.500 0.500
0.831 0.169 0.500
0.169 0.831 0.500
0.000 0.000 0.000
```



No. 4
The following is a DFT calculation (PBE-GGA) of a relaxed SrIrCl crystal.

Output
Uncorrected energy, eV for the cell shown: -31.6
Symmetry: I4/mmm, No. 139

The structure in POSCAR format:
```
SrIrCl
1.0
3.716 0.000 0.000
0.000 3.716 0.000
-1.858 -1.858 11.045
Cl Ir Sr
2 2 2
Direct
0.894 0.238 0.058
0.251 0.595 0.773
0.572 0.417 0.415
0.072 0.917 0.415
0.455 0.800 0.181
0.690 0.034 0.650
```



No. 5
The following is a DFT calculation (PBE-GGA) of a relaxed AcDy2H crystal.

Output
Uncorrected energy, eV for the cell shown: -16.8
Symmetry: R-3m, No. 166

The structure in POSCAR format:
```
AcDy2H
1.0
3.611 0.000 0.000
1.805 3.127 0.000
1.805 1.042 9.805
Dy H Ac
2 1 1
Direct
0.878 0.878 0.367
0.122 0.122 0.633
0.500 0.500 0.500
0.000 0.000 0.000
```



No. 6
The following is a DFT calculation (PBE-GGA) of a relaxed Fe2AgPt crystal.

Output
Formation energy from the elements, eV per atom: 0.12
Symmetry: R-3m, No. 166

The structure in POSCAR format:
```
Fe2AgPt
1.0
-4.658 5.831 5.357
-6.280 3.659 5.619
-4.096 3.930 7.224
Ag Pt Fe
1 1 2
Direct
0.750 0.750 0.750
0.250 0.250 0.250
0.997 0.997 0.997
0.503 0.503 0.503
```